# GGA-PBE NpIn, optimized geometry
data_NpIn
_chemical_formula_sum 'Np2 In2'
_space_group_name_H-M_alt 'P 1 21/m 1'
_space_group_IT_number 11
_cell_length_a 3.8271
_cell_length_b 3.6173
_cell_length_c 6.7793
_cell_angle_alpha 90.00
_cell_angle_beta 97.17
_cell_angle_gamma 90.00
loop_
_space_group_symop_operation_xyz
'x,y,z'
'-x,-y,-z'
'-x,y+1/2,-z'
'x,-y+1/2,z'
loop_
_atom_site_label
_atom_site_fract_x
_atom_site_fract_y
_atom_site_fract_z
Np1 0.1757 0.2500 0.0772
In1 0.2657 0.2500 0.6197
# Energy ... -7.732 eV per atom
# Volume ... 23.280 Å³/atom
# Energy relative to the elements ... 10.34 kJ per mole of atoms